[1]
Density functional theory data (PBE-GGA) for TlCuMo2 after structural relaxation.

As for the distance to the lowest polymorph of the same formula: 0.711 eV per formula unit. As for the volume: 17.1 A^3/atom. The total DFT energy (no corrections) is -25.80 eV/cell.

The structure belongs to space group Pmm2 (No. 25); the cell edges are 2.766, 4.204 and 5.867 Å and the angles 90.00°, 90.00° and 90.00°. Symmetry generates all atoms from Tl at (0.000, 0.000, 0.000), Cu at (0.500, 0.500, 0.257), Mo at (0.000, 0.000, 0.492) and Mo at (0.500, 0.500, 0.707).

***

[2]
Density functional theory data (PBE-GGA) for TlCuMo2 after structural relaxation.

As for the distance to the lowest polymorph of the same formula: 0.668 eV per formula unit. As for the volume: 16.5 A^3/atom. The total DFT energy (no corrections) is -51.69 eV/cell.

The structure belongs to space group I-4m2 (No. 119); the cell edges are 4.062, 4.062 and 8.002 Å and the angles 90.00°, 90.00° and 90.00°. Symmetry generates all atoms from Tl at (0.000, 0.000, 0.000), Cu at (0.000, 0.500, 0.750), Mo at (0.000, 0.000, 0.500) and Mo at (0.000, 0.500, 0.250).

***

[3]
Density functional theory data (PBE-GGA) for Tl2CuMo after structural relaxation.

As for the distance to the lowest polymorph of the same formula: 0.299 eV per formula unit. As for the volume: 20.4 A^3/atom. The total DFT energy (no corrections) is -51.56 eV/cell.

The structure belongs to space group R3m (No. 160, hexagonal axes); the cell edges are 3.1437, 3.1437 and 28.6580 Å and the angles 90.00°, 90.00° and 120.00°. Symmetry generates all atoms from Tl at (0.0000, 0.0000, 0.0000), Tl at (0.0000, 0.0000, 0.2317), Cu at (0.0000, 0.0000, 0.4840) and Mo at (0.0000, 0.0000, 0.7511).

***

[4]
Density functional theory data (PBE-GGA) for TlCuMo2 after structural relaxation.

As for the distance to the lowest polymorph of the same formula: 0.472 eV per formula unit. As for the volume: 16.5 A^3/atom. The total DFT energy (no corrections) is -26.04 eV/cell.

The structure belongs to space group Pmmm (No. 47); the cell edges are 3.571, 4.079 and 4.544 Å and the angles 90.00°, 90.00° and 90.00°. Symmetry generates all atoms from Tl at (0.000, 0.000, 0.000), Cu at (0.500, 0.500, 0.000), Mo at (0.000, 0.500, 0.500) and Mo at (0.500, 0.000, 0.500).

***

[5]
Density functional theory data (PBE-GGA) for TlCuMo2 after structural relaxation.

As for the distance to the lowest polymorph of the same formula: 0.000 eV per formula unit. As for the volume: 17.2 A^3/atom. The total DFT energy (no corrections) is -26.51 eV/cell.

The structure belongs to space group P4mm (No. 99); the cell edges are 3.303, 3.303 and 6.299 Å and the angles 90.00°, 90.00° and 90.00°. Symmetry generates all atoms from Tl at (0.000, 0.000, 0.000), Cu at (0.500, 0.500, 0.249), Mo at (0.000, 0.000, 0.491) and Mo at (0.500, 0.500, 0.680).

***

[6]
Density functional theory data (PBE-GGA) for Tl2CuMo after structural relaxation.

As for the distance to the lowest polymorph of the same formula: 0.391 eV per formula unit. As for the volume: 19.2 A^3/atom. The total DFT energy (no corrections) is -34.19 eV/cell.

The structure belongs to space group Cmmm (No. 65); the cell edges are 6.227, 7.980 and 3.095 Å and the angles 90.00°, 90.00° and 90.00°. Symmetry generates all atoms from Tl at (0.250, 0.250, 0.000), Cu at (0.000, 0.000, 0.500) and Mo at (0.000, 0.500, 0.500).

***

[7]
Density functional theory data (PBE-GGA) for Tl2CuMo after structural relaxation.

As for the distance to the lowest polymorph of the same formula: 1.558 eV per formula unit. As for the volume: 21.2 A^3/atom. The total DFT energy (no corrections) is -63.72 eV/cell.

The structure belongs to space group F-43m (No. 216); the cell edges are 6.972, 6.972 and 6.972 Å and the angles 90.00°, 90.00° and 90.00°. Symmetry generates all atoms from Tl at (0.000, 0.000, 0.000), Tl at (0.250, 0.250, 0.250), Cu at (0.000, 0.000, 0.500) and Mo at (0.250, 0.250, 0.750).

***

[8]
Density functional theory data (PBE-GGA) for TlCu2Mo2 after structural relaxation.

As for the distance to the lowest polymorph of the same formula: 0.000 eV per formula unit. As for the volume: 16.9 A^3/atom. The total DFT energy (no corrections) is -58.46 eV/cell.

The structure belongs to space group P4/mbm (No. 127); the cell edges are 7.428, 7.428 and 3.069 Å and the angles 90.00°, 90.00° and 90.00°. Symmetry generates all atoms from Tl at (0.000, 0.000, 0.000), Cu at (0.181, 0.319, 0.500) and Mo at (0.110, 0.610, 0.000).

***

- Which of these has the lowest total DFT energy (no corrections)?
  number 7